DFT (PBE) results for an optimized crystal structure of InWAu2.

```
InWAu2
1.0
1.490 0.860 9.517
-1.490 0.860 9.517
0.000 -1.720 9.517
In W Au
1 1 2
Cartesian
0.000 0.000 0.000
0.000 0.000 14.275
0.000 0.000 7.038
0.000 0.000 21.512
```

Calculated values
- Uncorrected energy: -20.87 eV/f.u.
- Space-group type: R-3m (166)
- Formation enthalpy at 0 K: 0.3436 eV/atom
- Density: 15.72 g/cm³